No. 1
The following is a GGA-PBE calculation of a geometry-optimized KZr2Cr structure, from the Alexandria database.

## Properties
- Relative energy among the computed polymorphs: 0.272 eV per atom
- Volume: 104 Å³/f.u.
- Space group: R3m (160)
- Formation enthalpy at 0 K: 65 kJ per mole of atoms
- Size of the total moment: 4.18 μB per formula unit

Lattice parameters (Å, degrees): 11.3696 11.3696 11.3696 16.53 16.53 16.53
Fractional positions:
K (0.0000, 0.0000, 0.0000)
Zr (0.2311, 0.2311, 0.2311)
Zr (0.4908, 0.4908, 0.4908)
Cr (0.7592, 0.7592, 0.7592)

No. 2
The following is a GGA-PBE calculation of a geometry-optimized KZr2Cr structure, from the Alexandria database.

## Properties
- Relative energy among the computed polymorphs: 0.691 eV per atom
- Volume: 97 Å³/f.u.
- Space group: Cmmm (65)
- Formation enthalpy at 0 K: 106 kJ per mole of atoms
- Size of the total moment: 3.36 μB per formula unit

Lattice parameters (Å, degrees): 6.1195 6.1195 2.9663 90.00 90.00 118.88
Fractional positions:
K (0.0000, 0.0000, 0.0000)
Zr (0.0000, 0.5000, 0.5000)
Zr (0.5000, 0.0000, 0.5000)
Cr (0.5000, 0.5000, 0.0000)

What is the volume in the second record?
97 Å³/f.u.

Copy entry 1 word for word.
The following is a GGA-PBE calculation of a geometry-optimized KZr2Cr structure, from the Alexandria database.

## Properties
- Relative energy among the computed polymorphs: 0.272 eV per atom
- Volume: 104 Å³/f.u.
- Space group: R3m (160)
- Formation enthalpy at 0 K: 65 kJ per mole of atoms
- Size of the total moment: 4.18 μB per formula unit

Lattice parameters (Å, degrees): 11.3696 11.3696 11.3696 16.53 16.53 16.53
Fractional positions:
K (0.0000, 0.0000, 0.0000)
Zr (0.2311, 0.2311, 0.2311)
Zr (0.4908, 0.4908, 0.4908)
Cr (0.7592, 0.7592, 0.7592)

Look up the size of the total moment of the second one.
3.36 μB per formula unit

Which formula does entry 2 have?
KZr2Cr